DFT (GGA+U) results for a geometry-optimized CaDyMo2O8 structure.

```
12
Lattice="5.254 0.000 0.000 0.000 5.254 0.000 -2.627 -2.627 5.704" Properties=species:S:1:pos:R:3 pbc="T T T"
O 1.279 -0.834 4.728
O 1.360 1.711 3.778
O 4.338 1.268 1.926
O 3.461 3.906 0.975
Ca 0.000 0.000 0.000
O 0.916 3.987 1.926
Mo 0.000 2.627 2.852
Dy 2.627 0.000 2.852
Mo 2.627 2.627 0.000
O -1.279 0.834 4.728
O 1.793 1.349 0.975
O -1.360 -1.711 3.778
```

Summary:
- energy (eV per cell) = -88.8
- SG = No. 82
- spin magnetization (Bohr magnetons per cell) = 1.00